! MgPAuO, relaxed, DFT PBE; values from VASP
! **Space group**: P4/nmm, No. 129
! **Distance to the lowest polymorph of the same formula**: 970 meV per atom
&SYSTEM
  ibrav = 0, nat = 8, ntyp = 4
/
ATOMIC_SPECIES
Au 196.97 Au.upf
O 16.00 O.upf
Mg 24.30 Mg.upf
P 30.97 P.upf
ATOMIC_POSITIONS crystal
Au 0.000 0.500 0.062
Au 0.500 0.000 0.938
O 0.500 0.500 0.000
Mg 0.000 0.000 0.500
Mg 0.500 0.500 0.500
O 0.000 0.000 0.000
P 0.000 0.500 0.350
P 0.500 0.000 0.650
CELL_PARAMETERS angstrom
4.408 0.000 0.000
0.000 4.408 0.000
0.000 0.000 8.304

! NbInPd6, relaxed, DFT PBE; values from VASP
! **Space group**: P4/mmm, No. 123
! **Total energy**: -5.966 eV per atom
&SYSTEM
  ibrav = 0, nat = 8, ntyp = 3
/
ATOMIC_SPECIES
Nb 92.91 Nb.upf
Pd 106.42 Pd.upf
In 114.82 In.upf
ATOMIC_POSITIONS crystal
Nb 0.000 0.000 0.500
Pd 0.500 0.500 0.500
In 0.000 0.000 0.000
Pd 0.500 0.500 0.000
Pd 0.500 0.000 0.739
Pd 0.500 0.000 0.261
Pd 0.000 0.500 0.261
Pd 0.000 0.500 0.739
CELL_PARAMETERS angstrom
-1.491 3.699 -0.046
-0.632 -0.206 3.932
7.318 2.966 1.332

What did the first record say?
! MgPAuO, relaxed, DFT PBE; values from VASP
! **Space group**: P4/nmm, No. 129
! **Distance to the lowest polymorph of the same formula**: 970 meV per atom
&SYSTEM
  ibrav = 0, nat = 8, ntyp = 4
/
ATOMIC_SPECIES
Au 196.97 Au.upf
O 16.00 O.upf
Mg 24.30 Mg.upf
P 30.97 P.upf
ATOMIC_POSITIONS crystal
Au 0.000 0.500 0.062
Au 0.500 0.000 0.938
O 0.500 0.500 0.000
Mg 0.000 0.000 0.500
Mg 0.500 0.500 0.500
O 0.000 0.000 0.000
P 0.000 0.500 0.350
P 0.500 0.000 0.650
CELL_PARAMETERS angstrom
4.408 0.000 0.000
0.000 4.408 0.000
0.000 0.000 8.304

Please write out number 1 again, unchanged.
! MgPAuO, relaxed, DFT PBE; values from VASP
! **Space group**: P4/nmm, No. 129
! **Distance to the lowest polymorph of the same formula**: 970 meV per atom
&SYSTEM
  ibrav = 0, nat = 8, ntyp = 4
/
ATOMIC_SPECIES
Au 196.97 Au.upf
O 16.00 O.upf
Mg 24.30 Mg.upf
P 30.97 P.upf
ATOMIC_POSITIONS crystal
Au 0.000 0.500 0.062
Au 0.500 0.000 0.938
O 0.500 0.500 0.000
Mg 0.000 0.000 0.500
Mg 0.500 0.500 0.500
O 0.000 0.000 0.000
P 0.000 0.500 0.350
P 0.500 0.000 0.650
CELL_PARAMETERS angstrom
4.408 0.000 0.000
0.000 4.408 0.000
0.000 0.000 8.304